# 1
Computed, not measured: a relaxed structure of GaRhW2 at the PBE level of DFT.

Unit cell a=3.706 b=3.706 c=19.291 alpha=90.00 beta=90.00 gamma=90.00
Positions (direct):
Ga1 0.000 0.000 0.000
Ga2 0.000 0.500 0.250
Ga3 0.500 0.000 0.750
Ga4 0.500 0.500 0.500
Rh1 0.000 0.000 0.500
Rh2 0.000 0.500 0.750
Rh3 0.500 0.000 0.250
Rh4 0.500 0.500 0.000
W1 0.239 0.250 0.125
W2 0.250 0.739 0.375
W3 0.250 0.761 0.875
W4 0.261 0.250 0.625
W5 0.739 0.750 0.625
W6 0.750 0.239 0.875
W7 0.750 0.261 0.375
W8 0.761 0.750 0.125

Output
Calculated total energy   -8.611 eV/atom
N(E_F)   2.5 states/eV/f.u.
Volume   16.6 A^3/atom
SG   I-42d
DFT formation energy   0.460 eV/atom
Total moment   0.000 μB per cell



# 2
Computed, not measured: a relaxed structure of SbTe2Ru at the PBE level of DFT.

Unit cell a=3.164 b=3.164 c=34.834 alpha=90.00 beta=90.00 gamma=120.00
Positions (direct):
Sb1 0.000 0.000 0.000
Sb2 0.333 0.667 0.667
Sb3 0.667 0.333 0.333
Te1 0.000 0.000 0.427
Te2 0.000 0.000 0.573
Te3 0.333 0.667 0.093
Te4 0.333 0.667 0.240
Te5 0.667 0.333 0.760
Te6 0.667 0.333 0.907
Ru1 0.000 0.000 0.500
Ru2 0.333 0.667 0.167
Ru3 0.667 0.333 0.833

Output
Calculated total energy   -4.311 eV/atom
Uncorrected formation energy   0.61 eV per atom
N(E_F)   2.7 states/eV/f.u.
Volume   25.2 A^3/atom
SG   R-3m
Total moment   0.000 μB per cell



# 3
Computed, not measured: a relaxed structure of FeB3Ir at the PBE level of DFT.

Unit cell a=3.702 b=3.702 c=3.702 alpha=90.00 beta=90.00 gamma=90.00
Positions (direct):
Fe1 0.000 0.000 0.000
B1 0.000 0.000 0.500
B2 0.000 0.500 0.000
B3 0.500 0.000 0.000
Ir1 0.500 0.500 0.500

Output
E above lowest polymorph   0.0000 eV per atom
Calculated total energy   -6.393 eV/atom
N(E_F)   1.6 states/eV/f.u.
Volume   10.2 A^3/atom
SG   Pm-3m
DFT formation energy   1.078 eV/atom
Total moment   0.000 μB per cell



# 4
Computed, not measured: a relaxed structure of NaGaCuNi at the PBE level of DFT.

Unit cell a=10.606 b=2.712 c=4.509 alpha=90.00 beta=114.79 gamma=90.00
Positions (direct):
Na1 0.000 0.000 0.000
Na2 0.500 0.500 0.000
Ga1 0.283 0.500 0.284
Ga2 0.783 0.000 0.284
Cu1 0.015 0.500 0.515
Cu2 0.515 0.000 0.515
Ni1 0.229 0.000 0.730
Ni2 0.729 0.500 0.730

Output
E above lowest polymorph   0.1200 eV per atom
Calculated total energy   -3.475 eV/atom
N(E_F)   1.8 states/eV/f.u.
Volume   14.7 A^3/atom
SG   Cm
DFT formation energy   0.081 eV/atom
Total moment   0.000 μB per cell



# 5
Computed, not measured: a relaxed structure of LaPr3YTm at the PBE level of DFT.

Unit cell a=8.142 b=5.205 c=10.396 alpha=90.00 beta=108.71 gamma=90.00
Positions (direct):
La1 0.172 0.250 0.294
La2 0.828 0.750 0.706
Pr1 0.169 0.250 0.791
Pr2 0.170 0.750 0.043
Pr3 0.172 0.750 0.542
Pr4 0.828 0.250 0.458
Pr5 0.830 0.250 0.957
Pr6 0.831 0.750 0.209
Y1 0.499 0.750 0.874
Y2 0.501 0.250 0.126
Tm1 0.500 0.250 0.625
Tm2 0.500 0.750 0.375

Output
Calculated total energy   -5.006 eV/atom
N(E_F)   10.2 states/eV/f.u.
Volume   34.8 A^3/atom
SG   P2_1/m
DFT formation energy   0.027 eV/atom
Total moment   0.001 μB per cell



# 6
Computed, not measured: a relaxed structure of Ti2Cr3Si at the PBE level of DFT.

Unit cell a=4.792 b=4.792 c=8.075 alpha=90.00 beta=90.00 gamma=120.00
Positions (direct):
Ti1 0.333 0.667 0.063
Ti2 0.333 0.667 0.437
Ti3 0.667 0.333 0.563
Ti4 0.667 0.333 0.937
Cr1 0.172 0.345 0.750
Cr2 0.172 0.828 0.750
Cr3 0.345 0.172 0.250
Cr4 0.655 0.828 0.750
Cr5 0.828 0.172 0.250
Cr6 0.828 0.655 0.250
Si1 0.000 0.000 0.000
Si2 0.000 0.000 0.500

Output
Calculated total energy   -8.701 eV/atom
Uncorrected formation energy   -0.35 eV per atom
N(E_F)   5.1 states/eV/f.u.
Volume   13.4 A^3/atom
SG   P6_3/mmc
Total moment   0.000 μB per cell



# 7
Computed, not measured: a relaxed structure of Ac6Ir3Pt2Au at the PBE level of DFT.

Unit cell a=9.789 b=9.789 c=8.802 alpha=103.10 beta=103.10 gamma=25.77
Positions (direct):
Ac1 0.002 0.002 0.231
Ac2 0.326 0.326 0.419
Ac3 0.335 0.335 0.910
Ac4 0.665 0.665 0.090
Ac5 0.674 0.674 0.581
Ac6 0.998 0.998 0.769
Ir1 0.164 0.164 0.334
Ir2 0.500 0.500 0.000
Ir3 0.836 0.836 0.666
Pt1 0.166 0.166 0.832
Pt2 0.834 0.834 0.168
Au1 0.500 0.500 0.500

Output
Calculated total energy   -6.364 eV/atom
N(E_F)   5.3 states/eV/f.u.
Volume   29.7 A^3/atom
SG   C2/m
DFT formation energy   -0.815 eV/atom
Total moment   0.000 μB per cell



# 8
Computed, not measured: a relaxed structure of Ta2CuGeBi at the PBE level of DFT.

Unit cell a=4.952 b=4.952 c=4.194 alpha=90.00 beta=90.00 gamma=90.00
Positions (direct):
Ta1 0.000 0.500 0.000
Ta2 0.500 0.000 0.000
Cu1 0.000 0.000 0.000
Ge1 0.000 0.000 0.500
Bi1 0.500 0.500 0.500

Output
E above lowest polymorph   0.1061 eV per atom
Calculated total energy   -6.298 eV/atom
N(E_F)   3.7 states/eV/f.u.
Volume   20.6 A^3/atom
SG   P4/mmm
DFT formation energy   0.962 eV/atom
Total moment   0.000 μB per cell



# 9
Computed, not measured: a relaxed structure of Dy2Ho8Tm3 at the PBE level of DFT.

Unit cell a=10.754 b=10.754 c=5.526 alpha=90.00 beta=90.00 gamma=139.10
Positions (direct):
Dy1 0.241 0.759 0.000
Dy2 0.759 0.241 0.000
Ho1 0.132 0.868 0.500
Ho2 0.180 0.395 0.000
Ho3 0.334 0.666 0.500
Ho4 0.395 0.180 0.000
Ho5 0.605 0.820 0.000
Ho6 0.666 0.334 0.500
Ho7 0.820 0.605 0.000
Ho8 0.868 0.132 0.500
Tm1 0.000 0.000 0.000
Tm2 0.283 0.283 0.500
Tm3 0.717 0.717 0.500

Output
Calculated total energy   -4.319 eV/atom
N(E_F)   21.7 states/eV/f.u.
Volume   32.2 A^3/atom
SG   Cmmm
DFT formation energy   0.238 eV/atom
Total moment   0.000 μB per cell



# 10
Computed, not measured: a relaxed structure of PRh at the PBE level of DFT.

Unit cell a=3.466 b=3.466 c=2.834 alpha=90.00 beta=90.00 gamma=120.00
Positions (direct):
P1 0.000 0.000 0.000
Rh1 0.667 0.333 0.500

Output
Calculated total energy   -6.697 eV/atom
N(E_F)   1.9 states/eV/f.u.
Volume   14.7 A^3/atom
SG   P-6m2
DFT formation energy   -0.316 eV/atom
Total moment   0.000 μB per cell



# 11
Computed, not measured: a relaxed structure of YHoSc at the PBE level of DFT.

Unit cell a=3.362 b=3.383 c=15.735 alpha=90.00 beta=90.00 gamma=90.00
Positions (direct):
Y1 0.250 0.250 0.082
Y2 0.750 0.750 0.918
Ho1 0.250 0.750 0.277
Ho2 0.750 0.250 0.723
Sc1 0.250 0.750 0.572
Sc2 0.750 0.250 0.428

Output
E above lowest polymorph   0.1328 eV per atom
Calculated total energy   -5.619 eV/atom
N(E_F)   5.3 states/eV/f.u.
Volume   29.8 A^3/atom
SG   Pmmn
DFT formation energy   0.172 eV/atom
Total moment   0.004 μB per cell



# 12
Computed, not measured: a relaxed structure of Pr5NdSm at the PBE level of DFT.

Unit cell a=12.367 b=12.367 c=6.750 alpha=96.04 beta=96.04 gamma=148.15
Positions (direct):
Pr1 0.136 0.864 0.750
Pr2 0.183 0.273 0.658
Pr3 0.256 0.672 0.496
Pr4 0.273 0.183 0.158
Pr5 0.328 0.744 0.004
Pr6 0.672 0.256 0.996
Pr7 0.727 0.817 0.842
Pr8 0.744 0.328 0.504
Pr9 0.817 0.727 0.342
Pr10 0.864 0.136 0.250
Nd1 0.167 0.833 0.250
Nd2 0.833 0.167 0.750
Sm1 0.417 0.583 0.250
Sm2 0.583 0.417 0.750

Output
E above lowest polymorph   0.0000 eV per atom
Calculated total energy   -4.596 eV/atom
N(E_F)   10.9 states/eV/f.u.
Volume   35.9 A^3/atom
SG   C2/c
DFT formation energy   0.173 eV/atom
Total moment   0.000 μB per cell



# 13
Computed, not measured: a relaxed structure of FeAs2W at the PBE level of DFT.

Unit cell a=3.299 b=3.323 c=11.033 alpha=90.00 beta=90.00 gamma=90.00
Positions (direct):
Fe1 0.000 0.000 0.000
Fe2 0.500 0.500 0.500
As1 0.000 0.000 0.569
As2 0.000 0.500 0.840
As3 0.500 0.000 0.340
As4 0.500 0.500 0.069
W1 0.000 0.500 0.244
W2 0.500 0.000 0.744

Output
E above lowest polymorph   0.0528 eV per atom
Calculated total energy   -7.553 eV/atom
N(E_F)   4.1 states/eV/f.u.
Volume   15.1 A^3/atom
SG   Imm2
DFT formation energy   0.126 eV/atom
Total moment   1.213 μB per cell



# 14
Computed, not measured: a relaxed structure of Pr5BiP4 at the PBE level of DFT.

Unit cell a=7.446 b=7.446 c=10.603 alpha=118.42 beta=118.42 gamma=33.16
Positions (direct):
Pr1 0.000 0.000 0.000
Pr2 0.206 0.206 0.816
Pr3 0.390 0.390 0.613
Pr4 0.610 0.610 0.387
Pr5 0.794 0.794 0.184
Bi1 0.000 0.000 0.500
P1 0.202 0.202 0.294
P2 0.402 0.402 0.100
P3 0.598 0.598 0.900
P4 0.798 0.798 0.706

Output
Calculated total energy   -6.311 eV/atom
N(E_F)   2.1 states/eV/f.u.
Volume   27.9 A^3/atom
SG   C2/m
DFT formation energy   -1.369 eV/atom
Total moment   0.000 μB per cell



# 15
Computed, not measured: a relaxed structure of La3Nd2Er8 at the PBE level of DFT.

Unit cell a=11.727 b=11.727 c=6.906 alpha=101.61 beta=101.61 gamma=27.58
Positions (direct):
La1 0.000 0.000 0.000
La2 0.488 0.488 0.703
La3 0.512 0.512 0.297
Nd1 0.227 0.227 0.804
Nd2 0.773 0.773 0.196
Er1 0.077 0.077 0.595
Er2 0.177 0.177 0.259
Er3 0.333 0.333 0.489
Er4 0.374 0.374 0.030
Er5 0.626 0.626 0.970
Er6 0.667 0.667 0.511
Er7 0.823 0.823 0.741
Er8 0.923 0.923 0.405

Output
E above lowest polymorph   0.0000 eV per atom
Calculated total energy   -4.595 eV/atom
N(E_F)   19.1 states/eV/f.u.
Volume   33.1 A^3/atom
SG   C2/m
DFT formation energy   0.084 eV/atom
Total moment   0.000 μB per cell



# 16
Computed, not measured: a relaxed structure of ThPOsO at the PBE level of DFT.

Unit cell a=4.059 b=4.059 c=7.992 alpha=90.00 beta=90.00 gamma=90.00
Positions (direct):
Th1 0.250 0.250 0.164
Th2 0.750 0.750 0.836
P1 0.250 0.250 0.651
P2 0.750 0.750 0.349
Os1 0.250 0.750 0.500
Os2 0.750 0.250 0.500
O1 0.250 0.750 0.000
O2 0.750 0.250 0.000

Output
Calculated total energy   -9.213 eV/atom
Uncorrected formation energy   -1.96 eV per atom
N(E_F)   2.6 states/eV/f.u.
Volume   16.5 A^3/atom
SG   P4/nmm
Total moment   0.000 μB per cell



# 17
Computed, not measured: a relaxed structure of MnAgHg2 at the PBE level of DFT.

Unit cell a=6.809 b=7.057 c=3.227 alpha=90.00 beta=90.00 gamma=90.00
Positions (direct):
Mn1 0.000 0.000 0.000
Mn2 0.500 0.500 0.000
Ag1 0.000 0.500 0.000
Ag2 0.500 0.000 0.000
Hg1 0.250 0.250 0.500
Hg2 0.250 0.750 0.500
Hg3 0.750 0.250 0.500
Hg4 0.750 0.750 0.500

Output
Calculated total energy   -2.915 eV/atom
N(E_F)   1.7 states/eV/f.u.
Volume   19.4 A^3/atom
SG   Cmmm
DFT formation energy   0.241 eV/atom
Total moment   7.868 μB per cell



# 18
Computed, not measured: a relaxed structure of BiRu3Cl at the PBE level of DFT.

Unit cell a=4.481 b=4.481 c=4.481 alpha=90.00 beta=90.00 gamma=90.00
Positions (direct):
Bi1 0.000 0.000 0.000
Ru1 0.000 0.500 0.500
Ru2 0.500 0.000 0.500
Ru3 0.500 0.500 0.000
Cl1 0.500 0.500 0.500

Output
E above lowest polymorph   0.0000 eV per atom
Calculated total energy   -5.660 eV/atom
Uncorrected formation energy   1.05 eV per atom
N(E_F)   8.3 states/eV/f.u.
Volume   18.0 A^3/atom
SG   Pm-3m
Total moment   0.001 μB per cell



# 19
Computed, not measured: a relaxed structure of ZnGa3Au at the PBE level of DFT.

Unit cell a=4.805 b=4.805 c=4.805 alpha=90.00 beta=90.00 gamma=90.00
Positions (direct):
Zn1 0.000 0.000 0.000
Ga1 0.000 0.000 0.500
Ga2 0.000 0.500 0.000
Ga3 0.500 0.000 0.000
Au1 0.500 0.500 0.500

Output
E above lowest polymorph   0.3619 eV per atom
Calculated total energy   -2.412 eV/atom
N(E_F)   1.8 states/eV/f.u.
Volume   22.2 A^3/atom
SG   Pm-3m
DFT formation energy   0.314 eV/atom
Total moment   0.000 μB per cell



# 20
Computed, not measured: a relaxed structure of Li2TmAgBr6 at the PBE level of DFT.

Unit cell a=7.589 b=7.589 c=7.589 alpha=54.93 beta=54.93 gamma=54.93
Positions (direct):
Li1 0.000 0.000 0.000
Li2 0.489 0.489 0.489
Tm1 0.809 0.809 0.809
Ag1 0.292 0.292 0.292
Br1 0.082 0.404 0.723
Br2 0.222 0.876 0.605
Br3 0.404 0.723 0.082
Br4 0.605 0.222 0.876
Br5 0.723 0.082 0.404
Br6 0.876 0.605 0.222

Output
Calculated total energy   -3.520 eV/atom
Uncorrected formation energy   -1.40 eV per atom
N(E_F)   0.0 states/eV/f.u.
Volume   27.3 A^3/atom
SG   R3
Total moment   0.000 μB per cell